DFT (PBEsol) results for a relaxed structure of Ba4NaBi3O12.

Cell lengths 7.4292, 7.4292, 7.4292 Å; angles 109.47, 109.47, 109.47 degrees
Fractional positions:
Ba (0.0000, 0.0000, 0.5000)
Ba (0.0000, 0.5000, 0.0000)
Ba (0.5000, 0.0000, 0.0000)
Ba (0.5000, 0.5000, 0.5000)
Na (0.0000, 0.0000, 0.0000)
Bi (0.0000, 0.5000, 0.5000)
Bi (0.5000, 0.0000, 0.5000)
Bi (0.5000, 0.5000, 0.0000)
O (0.0000, 0.2639, 0.2639)
O (0.0000, 0.7361, 0.7361)
O (0.2500, 0.5000, 0.7500)
O (0.2500, 0.7500, 0.5000)
O (0.2639, 0.0000, 0.2639)
O (0.2639, 0.2639, 0.0000)
O (0.5000, 0.2500, 0.7500)
O (0.5000, 0.7500, 0.2500)
O (0.7361, 0.0000, 0.7361)
O (0.7361, 0.7361, 0.0000)
O (0.7500, 0.2500, 0.5000)
O (0.7500, 0.5000, 0.2500)

Computed properties:
- Spin magnetization: 0.001 Bohr magnetons per cell
- Formation energy from raw total energies: -35.97 eV per formula unit
- Space group: Im-3m, No. 229